Entry from Alexandria: an optimized crystal structure of CsScBr2 (PBE-GGA).

The energy above the lowest structure with this stoichiometry comes out at 0 meV per atom. The calculation puts the density at 3.6 g cm⁻³. Its crystal system is trigonal. The volume comes out at 157.4 Å³/cell. The calculation puts the uncorrected formation energy at -3.95 eV/f.u. The total magnetization comes out at 1.62 μB/f.u.

Geometry as POSCAR:
```
CsScBr2
1.0
2.0909 1.2072 10.3938
-2.0909 1.2072 10.3938
0.0000 -2.4144 10.3938
Cs Sc Br
1 1 2
direct
0.0000 0.0000 0.0000
0.5000 0.5000 0.5000
0.1181 0.1181 0.1181
0.8819 0.8819 0.8819
```

---

Entry from Alexandria: an optimized crystal structure of TaNbGaRh (PBE-GGA).

The calculation puts the density at 11.4 g cm⁻³. Its crystal system is orthorhombic. The value obtained for the energy relative to the elements is -0.37 eV/atom. The volume comes out at 65.0 Å³/cell. The total magnetization comes out at 0.00 μB/f.u.

Geometry as POSCAR:
```
TaNbGaRh
1.0
3.5646 0.0000 0.0000
0.0000 4.2161 0.0000
0.0000 0.0000 4.3249
Ta Nb Ga Rh
1 1 1 1
direct
0.0000 0.0000 0.0000
0.5000 0.0000 0.5000
0.0000 0.5000 0.5000
0.5000 0.5000 0.0000
```

---

Entry from Alexandria: an optimized crystal structure of TaCdInSiP (PBE-GGA).

The energy above the lowest structure with this stoichiometry comes out at 0 meV per atom. The calculation puts the density at 7.6 g cm⁻³. Its crystal system is monoclinic. The volume comes out at 102.4 Å³/cell. The calculation puts the uncorrected formation energy at -0.04 eV/f.u. The total magnetization comes out at 0.00 μB/f.u.

Geometry as POSCAR:
```
TaCdInSiP
1.0
4.3079 -1.5976 0.0000
4.3079 1.5976 0.0000
-0.9775 0.0000 7.4429
Ta Cd In Si P
1 1 1 1 1
direct
0.0000 0.0000 0.0000
0.1024 0.1024 0.4089
0.4090 0.4090 0.6490
0.3103 0.3103 0.1563
0.7055 0.7055 0.9292
```

---

Entry from Alexandria: an optimized crystal structure of PtAu2Cl (PBE-GGA).

The energy above the lowest structure with this stoichiometry comes out at 0 meV per atom. The calculation puts the density at 13.5 g cm⁻³. Its crystal system is monoclinic. The volume comes out at 76.8 Å³/cell. The calculation puts the uncorrected formation energy at 0.64 eV/f.u. The total magnetization comes out at 0.00 μB/f.u.

Geometry as POSCAR:
```
PtAu2Cl
1.0
3.0888 0.0000 0.0000
0.0000 3.3310 0.0000
-0.0168 0.0000 7.4677
Pt Au Cl
1 2 1
direct
0.0000 0.0000 0.0000
0.4990 0.5000 0.7799
0.5010 0.5000 0.2201
0.5000 0.0000 0.5000
```